Compound: LiVOF2
Source: Alexandria via LeMat-Bulk
Functional: PBE with a Hubbard U
Structure: relaxed

Summary:
- ΔE to the lowest computed polymorph (kcal/mol of atoms) = 7.19
- N(E_F) (states/eV per cell) = 0.73

a = 4.0697 Å, b = 4.0697 Å, c = 3.7756 Å
α = 90.00°, β = 90.00°, γ = 90.00°
Closest atoms and distances in Å follow each position.
Space group P4/mmm (No. 123)
Unique sites:
Li  0.0000  0.0000  0.0000 [1 per cell]  8 F 2.78, 4 O 2.88
V  0.5000  0.5000  0.5000 [1 per cell]  2 O 1.89, 4 F 2.03
O  0.5000  0.5000  0.0000 [1 per cell]  2 V 1.89
F  0.0000  0.5000  0.5000 [2 per cell]  2 V 2.03